1.
A relaxed BaZnPH crystal. Source: Alexandria, functional PBE.

Calculated values
Total energy: -14.7 eV/cell
SG: No. 156
Total magnetic moment: 0.0 μB per cell
Theoretical density: 4.92 g/cm³
Calculated volume: 19.80 Å³/atom

a b c (Å): 4.255 4.255 5.052
angles (deg): 90.00 90.00 120.00
Positions (direct):
Ba 0.572 0.144 0.342
Zn 0.239 0.477 0.877
P 0.905 0.811 0.797
H 0.239 0.477 0.223

2.
A relaxed KAlSb crystal. Source: Alexandria, functional PBE.

Calculated values
Total energy: -8.9 eV/cell
SG: No. 187
Density of states at the Fermi level: 0.960 states/eV per atom
E above lowest polymorph: 80.3 kJ/mol of formula units
ΔE_f (raw): 0.03 eV/atom
Total magnetic moment: 0.0 μB per cell
Theoretical density: 3.76 g/cm³
Calculated volume: 27.64 Å³/atom

a b c (Å): 5.340 5.340 3.357
angles (deg): 90.00 90.00 120.00
Positions (direct):
Sb 0.333 0.667 0.833
K 0.667 0.333 0.333
Al 0.000 0.000 0.834

3.
A relaxed HfGa2Re2 crystal. Source: Alexandria, functional PBE.

Calculated values
Total energy: -82.2 eV/cell
SG: No. 127
Density of states at the Fermi level: 0.471 states/eV per atom
E above lowest polymorph: 0.0 kJ/mol of formula units
Total magnetic moment: 0.0 μB per cell
Theoretical density: 14.38 g/cm³
Calculated volume: 15.95 Å³/atom
Energy relative to the elements: -0.037 eV/atom

a b c (Å): 7.115 7.115 3.150
angles (deg): 90.00 90.00 90.00
Positions (direct):
Re 0.160 0.660 0.500
Re 0.660 0.840 0.500
Re 0.840 0.340 0.500
Re 0.340 0.160 0.500
Hf 0.000 0.000 0.000
Hf 0.500 0.500 0.000
Ga 0.366 0.866 0.000
Ga 0.866 0.634 0.000
Ga 0.634 0.134 0.000
Ga 0.134 0.366 0.000

4.
A relaxed Tl2ZnTe crystal. Source: Alexandria, functional PBE.

Calculated values
Total energy: -9.3 eV/cell
SG: No. 8
Density of states at the Fermi level: 0.518 states/eV per atom
E above lowest polymorph: 15.6 kJ/mol of formula units
ΔE_f (raw): -0.04 eV/atom
Total magnetic moment: 0.0 μB per cell
Theoretical density: 8.41 g/cm³
Calculated volume: 29.72 Å³/atom

a b c (Å): 6.581 6.581 5.193
angles (deg): 66.60 66.60 35.56
Positions (direct):
Te 0.807 0.807 0.694
Tl 0.009 0.009 0.991
Tl 0.209 0.209 0.291
Zn 0.475 0.475 0.525

5.
A relaxed Pu2Be4ZnPt3 crystal. Source: Alexandria, functional PBE.

Calculated values
Total energy: -68.2 eV/cell
SG: No. 115
Density of states at the Fermi level: 2.294 states/eV per atom
Total magnetic moment: 11.2 μB per cell
Theoretical density: 12.55 g/cm³
Calculated volume: 15.55 Å³/atom
Energy relative to the elements: -0.526 eV/atom

a b c (Å): 3.983 3.983 9.798
angles (deg): 90.00 90.00 90.00
Each line ends with the local moment (μB).
Positions (direct):
Pu 0.500 0.000 0.247  5.15
Pu 0.000 0.500 0.753  5.15
Be 0.500 0.500 0.000  0.03
Be 0.000 0.000 0.000  0.03
Be 0.500 0.000 0.631  0.01
Be 0.000 0.500 0.369  0.01
Zn 0.500 0.500 0.500  0.01
Pt 0.000 0.000 0.500  0.04
Pt 0.500 0.000 0.874  0.02
Pt 0.000 0.500 0.126  0.02

6.
A relaxed Li2Zn2Ag2Hg crystal. Source: Alexandria, functional PBE.

Calculated values
Total energy: -13.6 eV/cell
SG: No. 12
Density of states at the Fermi level: 0.292 states/eV per atom
Total magnetic moment: 0.0 μB per cell
Theoretical density: 8.00 g/cm³
Calculated volume: 16.65 Å³/atom
Energy relative to the elements: -0.177 eV/atom

a b c (Å): 4.108 4.901 6.445
angles (deg): 97.75 90.00 114.78
Positions (direct):
Li 0.704 0.409 0.150
Li 0.296 0.591 0.850
Zn 0.138 0.276 0.430
Zn 0.862 0.724 0.570
Ag 0.590 0.180 0.705
Ag 0.410 0.820 0.295
Hg 0.000 0.000 0.000

7.
A relaxed NdLuNiRu crystal. Source: Alexandria, functional PBE.

Calculated values
Total energy: -25.6 eV/cell
SG: No. 216
Density of states at the Fermi level: 0.723 states/eV per atom
Total magnetic moment: 0.0 μB per cell
Theoretical density: 9.98 g/cm³
Calculated volume: 19.93 Å³/atom
Energy relative to the elements: -0.314 eV/atom

a b c (Å): 4.831 4.831 4.831
angles (deg): 60.00 60.00 60.00
Positions (direct):
Ru 0.750 0.750 0.750
Lu 0.500 0.500 0.500
Nd 0.000 0.000 0.000
Ni 0.250 0.250 0.250

8.
A relaxed Ho3Tm2Sc3 crystal. Source: Alexandria, functional PBE.

Calculated values
Total energy: -41.5 eV/cell
SG: No. 12
Density of states at the Fermi level: 1.562 states/eV per atom
E above lowest polymorph: 0.0 kJ/mol of formula units
Total magnetic moment: 0.0 μB per cell
Theoretical density: 7.12 g/cm³
Calculated volume: 28.20 Å³/atom
Energy relative to the elements: 0.027 eV/atom

a b c (Å): 3.447 5.921 11.554
angles (deg): 75.47 81.42 90.00
Positions (direct):
Ho 0.623 0.963 0.754
Ho 0.500 0.500 0.000
Ho 0.377 0.037 0.246
Tm 0.252 0.256 0.495
Tm 0.748 0.744 0.505
Sc 0.124 0.459 0.752
Sc 0.876 0.541 0.248
Sc 0.000 0.000 0.000

9.
A relaxed SmDy2Tm7 crystal. Source: Alexandria, functional PBE.

Calculated values
Total energy: -45.0 eV/cell
SG: No. 2
Density of states at the Fermi level: 1.384 states/eV per atom
E above lowest polymorph: 0.0 kJ/mol of formula units
Total magnetic moment: 0.0 μB per cell
Theoretical density: 9.00 g/cm³
Calculated volume: 30.58 Å³/atom
Energy relative to the elements: 0.024 eV/atom

a b c (Å): 6.075 7.860 11.106
angles (deg): 135.11 123.17 58.95
Positions (direct):
Sm 0.000 0.000 0.000
Dy 0.500 0.900 0.600
Dy 0.500 0.100 0.400
Tm 0.000 0.601 0.400
Tm 0.000 0.399 0.600
Tm 0.500 0.700 0.800
Tm 0.500 0.300 0.200
Tm 0.000 0.800 0.201
Tm 0.000 0.200 0.799
Tm 0.500 0.500 0.000

10.
A relaxed NbTe3Pd crystal. Source: Alexandria, functional PBE.

Calculated values
Total energy: -21.3 eV/cell
SG: No. 221
Density of states at the Fermi level: 0.814 states/eV per atom
E above lowest polymorph: 486.0 kJ/mol of formula units
ΔE_f (raw): 0.68 eV/atom
Total magnetic moment: 2.1 μB per cell
Theoretical density: 6.81 g/cm³
Calculated volume: 28.39 Å³/atom

a b c (Å): 5.217 5.217 5.217
angles (deg): 90.00 90.00 90.00
Each line ends with the local moment (μB).
Positions (direct):
Nb 0.500 0.500 0.500  2.37
Te 0.000 0.500 0.000  -0.22
Te 0.000 0.000 0.500  -0.17
Te 0.500 0.000 0.000  -0.17
Pd 0.000 0.000 0.000  -0.04

11.
A relaxed AlInCo3 crystal. Source: Alexandria, functional PBE.

Calculated values
Total energy: -24.3 eV/cell
SG: No. 221
Density of states at the Fermi level: 1.051 states/eV per atom
E above lowest polymorph: 0.0 kJ/mol of formula units
Total magnetic moment: 1.5 μB per cell
Theoretical density: 6.78 g/cm³
Calculated volume: 15.61 Å³/atom
Energy relative to the elements: 0.702 eV/atom

a b c (Å): 4.274 4.274 4.274
angles (deg): 90.00 90.00 90.00
Each line ends with the local moment (μB).
Positions (direct):
Co 0.000 0.500 0.000  0.63
Co 0.000 0.000 0.500  0.70
Co 0.500 0.000 0.000  0.48
Al 0.000 0.000 0.000  -0.04
In 0.500 0.500 0.500  -0.04

12.
A relaxed Na3Si4Ag2 crystal. Source: Alexandria, functional PBE.

Calculated values
Total energy: -31.0 eV/cell
SG: No. 12
Density of states at the Fermi level: 0.232 states/eV per atom
ΔE_f (raw): 0.04 eV/atom
Total magnetic moment: 0.0 μB per cell
Theoretical density: 3.86 g/cm³
Calculated volume: 18.96 Å³/atom

a b c (Å): 4.483 5.645 7.831
angles (deg): 73.04 73.37 66.60
Positions (direct):
Na 0.308 0.748 0.637
Na 0.000 0.000 0.000
Na 0.692 0.252 0.363
Si 0.250 0.416 0.084
Si 0.750 0.584 0.916
Si 0.998 0.356 0.649
Si 0.002 0.644 0.351
Ag 0.429 0.899 0.244
Ag 0.571 0.101 0.756